(1)
Computed, not measured: a geometry-optimized YTiIrO6 structure at the PBE level of DFT.

a = 5.1618 Å, b = 5.1618 Å, c = 9.8692 Å
α = 90.00°, β = 90.00°, γ = 120.00°
Sites, in units of the cell vectors:
Y  0.0000  0.0000  0.0000
Y  0.0000  0.0000  0.5000
Ti  0.3333  0.6667  0.2500
Ti  0.6667  0.3333  0.7500
Ir  0.6667  0.3333  0.2500
Ir  0.3333  0.6667  0.7500
O  0.6438  0.6447  0.1409
O  0.0009  0.3562  0.1409
O  0.3562  0.0009  0.6409
O  0.9991  0.6438  0.8591
O  0.3553  0.3562  0.3591
O  0.0009  0.6447  0.3591
O  0.6447  0.0009  0.8591
O  0.6438  0.9991  0.3591
O  0.9991  0.3553  0.6409
O  0.3553  0.9991  0.1409
O  0.6447  0.6438  0.6409
O  0.3562  0.3553  0.8591

Total magnetic moment (μB per formula unit): 2.0
Volume (Å³ per atom): 12.65
SG: P-31c (163)
Formation energy without anion corrections (eV per atom): -2.239

(2)
Computed, not measured: a geometry-optimized Tl2IrO6 structure at the PBE level of DFT.

a = 5.7856 Å, b = 5.3356 Å, c = 8.9757 Å
α = 90.00°, β = 90.02°, γ = 90.00°
Sites, in units of the cell vectors:
Tl  0.9997  0.4995  0.8047
Tl  0.5003  0.9995  0.6953
Tl  0.4997  0.0005  0.3047
Tl  0.0003  0.5005  0.1953
Ir  0.5000  0.5000  0.0000
Ir  0.0000  0.0000  0.5000
O  0.8566  0.8000  0.3488
O  0.8566  0.7987  0.6505
O  0.7894  0.6901  0.9997
O  0.7106  0.1900  0.5003
O  0.6434  0.2987  0.8495
O  0.6434  0.3000  0.1512
O  0.1434  0.2000  0.6512
O  0.1434  0.2013  0.3495
O  0.2106  0.3100  0.0003
O  0.2894  0.8099  0.4997
O  0.3566  0.7013  0.1505
O  0.3566  0.7000  0.8488

Total magnetic moment (μB per formula unit): 0.0
Volume (Å³ per atom): 15.39
SG: Pnnm (58)
Formation energy without anion corrections (eV per atom): -0.596

(3)
Computed, not measured: a geometry-optimized TlIrO structure at the PBE level of DFT.

a = 3.7906 Å, b = 4.8914 Å, c = 7.0052 Å
α = 90.00°, β = 105.46°, γ = 90.00°
Sites, in units of the cell vectors:
Tl  0.8403  0.2500  0.6783
Tl  0.1597  0.7500  0.3217
Ir  0.5324  0.2500  0.0658
Ir  0.4676  0.7500  0.9342
O  0.0460  0.2500  0.0936
O  0.9540  0.7500  0.9064

Energy relative to the lowest polymorph listed for this composition (meV per atom): 0
Total magnetic moment (μB per formula unit): 0.0
Volume (Å³ per atom): 20.86
SG: P2_1/m (11)
Formation energy without anion corrections (eV per atom): -0.193

(4)
Computed, not measured: a geometry-optimized TlIrO2 structure at the PBE level of DFT.

a = 7.8462 Å, b = 7.8462 Å, c = 7.8462 Å
α = 22.79°, β = 22.79°, γ = 22.79°
Sites, in units of the cell vectors:
Tl  0.5000  0.5000  0.5000
Ir  0.0000  0.0000  0.0000
O  0.9220  0.9220  0.9220
O  0.0780  0.0780  0.0780

Energy relative to the lowest polymorph listed for this composition (meV per atom): 294
Total magnetic moment (μB per formula unit): 0.0
Volume (Å³ per atom): 15.90
SG: R-3m (166)
Formation energy without anion corrections (eV per atom): -0.202

(5)
Computed, not measured: a geometry-optimized TlIrO3 structure at the PBE level of DFT.

a = 5.1957 Å, b = 6.1257 Å, c = 6.1259 Å
α = 120.01°, β = 89.99°, γ = 90.01°
Sites, in units of the cell vectors:
Tl  0.7499  0.6667  0.3333
Tl  0.2501  0.3333  0.6667
Ir  0.0000  0.0000  0.0000
Ir  0.5000  0.0000  0.0000
O  0.7500  0.7133  0.8566
O  0.2500  0.8566  0.7133
O  0.2500  0.2867  0.1434
O  0.7500  0.1434  0.2867
O  0.2500  0.8566  0.1434
O  0.7500  0.1434  0.8567

Total magnetic moment (μB per formula unit): 0.0
Volume (Å³ per atom): 16.88
SG: P6_3/mmc (194)
Formation energy without anion corrections (eV per atom): -0.636

(6)
Computed, not measured: a geometry-optimized Tl3IrO8 structure at the PBE level of DFT.

a = 5.3085 Å, b = 5.3085 Å, c = 6.4637 Å
α = 114.25°, β = 114.25°, γ = 90.00°
Sites, in units of the cell vectors:
Tl  0.7500  0.2500  0.5000
Tl  0.5000  0.5000  0.0000
Tl  0.2500  0.7500  0.5000
Ir  0.0000  0.0000  0.0000
O  0.3436  0.3436  0.2308
O  0.3436  0.8872  0.2308
O  0.1128  0.6564  0.7692
O  0.1128  0.1128  0.7692
O  0.8872  0.8872  0.2308
O  0.8872  0.3436  0.2308
O  0.6564  0.1128  0.7692
O  0.6564  0.6564  0.7692

Total magnetic moment (μB per formula unit): 1.8
Volume (Å³ per atom): 12.36
SG: I4/mmm (139)
Formation energy without anion corrections (eV per atom): -0.351

(7)
Computed, not measured: a geometry-optimized Tl2IrO3 structure at the PBE level of DFT.

a = 6.2427 Å, b = 6.9832 Å, c = 6.9832 Å
α = 130.94°, β = 90.00°, γ = 90.00°
Sites, in units of the cell vectors:
Tl  0.7500  0.4591  0.7782
Tl  0.2500  0.2218  0.5409
Tl  0.2500  0.5409  0.2218
Tl  0.7500  0.7782  0.4591
Ir  0.2500  0.9579  0.9579
Ir  0.7500  0.0421  0.0421
O  0.0000  0.0965  0.9035
O  0.5000  0.0965  0.9035
O  0.2500  0.6273  0.6273
O  0.7500  0.3727  0.3727
O  0.5000  0.9035  0.0965
O  0.0000  0.9035  0.0965

Total magnetic moment (μB per formula unit): 0.0
Volume (Å³ per atom): 19.16
SG: Cmcm (63)
Formation energy without anion corrections (eV per atom): -0.465

(8)
Computed, not measured: a geometry-optimized TlIrO structure at the PBE level of DFT.

a = 5.8253 Å, b = 4.5478 Å, c = 10.2168 Å
α = 79.48°, β = 73.44°, γ = 50.17°
Sites, in units of the cell vectors:
Tl  0.1779  0.5000  0.6442
Tl  0.3221  0.5000  0.3558
Tl  0.5721  0.0000  0.8558
Tl  0.4279  0.0000  0.1442
Ir  0.6659  0.5000  0.6682
Ir  0.8341  0.5000  0.3318
Ir  0.0841  0.0000  0.8318
Ir  0.9159  0.0000  0.1682
O  0.9200  0.1600  0.5000
O  0.5800  0.8400  0.5000
O  0.8300  0.3400  0.0000
O  0.1700  0.6600  0.0000

Energy relative to the lowest polymorph listed for this composition (meV per atom): 267
Total magnetic moment (μB per formula unit): 0.0
Volume (Å³ per atom): 16.60
SG: Fddd (70)
Formation energy without anion corrections (eV per atom): 0.074

(9)
Computed, not measured: a geometry-optimized Tl3IrO4 structure at the PBE level of DFT.

a = 6.2540 Å, b = 6.2540 Å, c = 6.2540 Å
α = 89.25°, β = 123.37°, γ = 117.59°
Sites, in units of the cell vectors:
Tl  0.5213  0.2333  0.7546
Tl  0.0489  0.0000  0.0489
Tl  0.5213  0.7667  0.2880
Ir  0.0064  0.5000  0.5064
O  0.0748  0.7039  0.7787
O  0.0748  0.2961  0.3709
O  0.6630  0.2112  0.4518
O  0.2406  0.7888  0.4518

Total magnetic moment (μB per formula unit): 1.9
Volume (Å³ per atom): 21.39
SG: Imm2 (44)
Formation energy without anion corrections (eV per atom): -0.567

(10)
Computed, not measured: a geometry-optimized Tl3IrO structure at the PBE level of DFT.

a = 5.2338 Å, b = 5.2338 Å, c = 5.2338 Å
α = 90.00°, β = 90.00°, γ = 90.00°
Sites, in units of the cell vectors:
Tl  0.0000  0.5000  0.0000
Tl  0.0000  0.0000  0.5000
Tl  0.5000  0.0000  0.0000
Ir  0.0000  0.0000  0.0000
O  0.5000  0.5000  0.5000

Energy relative to the lowest polymorph listed for this composition (meV per atom): 0
Total magnetic moment (μB per formula unit): 0.0
Volume (Å³ per atom): 28.67
SG: Pm-3m (221)
Formation energy without anion corrections (eV per atom): 0.364

(11)
Computed, not measured: a geometry-optimized TlIrO2 structure at the PBE level of DFT.

a = 4.1726 Å, b = 4.1726 Å, c = 4.1726 Å
α = 60.00°, β = 60.00°, γ = 60.00°
Sites, in units of the cell vectors:
Tl  0.5000  0.5000  0.5000
Ir  0.0000  0.0000  0.0000
O  0.2500  0.2500  0.2500
O  0.7500  0.7500  0.7500

Energy relative to the lowest polymorph listed for this composition (meV per atom): 1018
Total magnetic moment (μB per formula unit): 0.8
Volume (Å³ per atom): 12.84
SG: Fm-3m (225)
Formation energy without anion corrections (eV per atom): 0.522

(12)
Computed, not measured: a geometry-optimized Tl2IrO5 structure at the PBE level of DFT.

a = 3.8249 Å, b = 7.4111 Å, c = 15.5946 Å
α = 90.00°, β = 90.00°, γ = 90.00°
Sites, in units of the cell vectors:
Tl  0.7500  0.4173  0.4112
Tl  0.7500  0.3385  0.7608
Tl  0.2500  0.1615  0.2608
Tl  0.2500  0.0827  0.9112
Tl  0.7500  0.9173  0.0888
Tl  0.7500  0.8385  0.7392
Tl  0.2500  0.6615  0.2392
Tl  0.2500  0.5827  0.5888
Ir  0.7500  0.3961  0.0675
Ir  0.2500  0.1039  0.5675
Ir  0.7500  0.8961  0.4325
Ir  0.2500  0.6039  0.9325
O  0.2500  0.4267  0.3208
O  0.2500  0.4351  0.0422
O  0.2500  0.3821  0.8536
O  0.2500  0.3320  0.4980
O  0.7500  0.2393  0.1667
O  0.2500  0.2607  0.6667
O  0.7500  0.1680  0.9980
O  0.7500  0.1179  0.3536
O  0.7500  0.0649  0.5422
O  0.7500  0.0733  0.8208
O  0.2500  0.9267  0.1792
O  0.2500  0.9351  0.4578
O  0.2500  0.8821  0.6464
O  0.2500  0.8320  0.0020
O  0.7500  0.7393  0.3333
O  0.2500  0.7607  0.8333
O  0.7500  0.6680  0.5020
O  0.7500  0.6179  0.1464
O  0.7500  0.5649  0.9578
O  0.7500  0.5733  0.6792

Energy relative to the lowest polymorph listed for this composition (meV per atom): 0
Total magnetic moment (μB per formula unit): 0.0
Volume (Å³ per atom): 13.81
SG: Pnma (62)
Formation energy without anion corrections (eV per atom): -0.659

(13)
Computed, not measured: a geometry-optimized Tl3IrO6 structure at the PBE level of DFT.

a = 5.6889 Å, b = 5.8153 Å, c = 10.2885 Å
α = 90.00°, β = 56.88°, γ = 90.00°
Sites, in units of the cell vectors:
Tl  0.2311  0.9531  0.2447
Tl  0.5000  0.5000  0.0000
Tl  0.7689  0.0469  0.7553
Tl  0.2311  0.5469  0.7447
Tl  0.5000  0.0000  0.5000
Tl  0.7689  0.4531  0.2553
Ir  0.0000  0.5000  0.5000
Ir  0.0000  0.0000  0.0000
O  0.1906  0.1971  0.0729
O  0.9083  0.2392  0.4115
O  0.6557  0.4271  0.7079
O  0.3443  0.5729  0.2921
O  0.0917  0.7608  0.5885
O  0.8094  0.8029  0.9271
O  0.1906  0.3029  0.5729
O  0.9083  0.2608  0.9115
O  0.6557  0.0729  0.2079
O  0.3443  0.9271  0.7921
O  0.0917  0.7392  0.0885
O  0.8094  0.6971  0.4271

Energy relative to the lowest polymorph listed for this composition (meV per atom): 0
Total magnetic moment (μB per formula unit): 0.0
Volume (Å³ per atom): 14.25
SG: P2_1/c (14)
Formation energy without anion corrections (eV per atom): -0.672

(14)
Computed, not measured: a geometry-optimized Tl3IrO7 structure at the PBE level of DFT.

a = 6.5485 Å, b = 6.5485 Å, c = 7.4643 Å
α = 90.00°, β = 90.00°, γ = 109.57°
Sites, in units of the cell vectors:
Tl  0.4944  0.4944  0.5000
Tl  0.5056  0.5056  0.0000
Tl  0.5287  0.9977  0.2507
Tl  0.4713  0.0023  0.7507
Tl  0.9977  0.5287  0.7493
Tl  0.0023  0.4713  0.2493
Ir  0.9999  0.9999  0.5000
Ir  0.0001  0.0001  0.0000
O  0.6884  0.9358  0.5244
O  0.3116  0.0642  0.0244
O  0.9358  0.6884  0.4756
O  0.0642  0.3116  0.9756
O  0.0676  0.3134  0.5235
O  0.9324  0.6866  0.0235
O  0.3134  0.0676  0.4765
O  0.6866  0.9324  0.9765
O  0.3704  0.6296  0.2500
O  0.6296  0.3704  0.7500
O  0.6378  0.3622  0.2500
O  0.3622  0.6378  0.7500
O  0.9421  0.0579  0.2500
O  0.0579  0.9421  0.7500

Total magnetic moment (μB per formula unit): 1.8
Volume (Å³ per atom): 13.71
SG: C222_1 (20)
Formation energy without anion corrections (eV per atom): -0.667

(15)
Computed, not measured: a geometry-optimized TlIrO3 structure at the PBE level of DFT.

a = 3.9322 Å, b = 5.7118 Å, c = 6.7246 Å
α = 96.44°, β = 90.00°, γ = 110.13°
Sites, in units of the cell vectors:
Tl  0.3843  0.7687  0.5933
Tl  0.6157  0.2313  0.4067
Ir  0.1356  0.2712  0.9248
Ir  0.8644  0.7288  0.0752
O  0.9512  0.9024  0.8219
O  0.0488  0.0976  0.1781
O  0.6765  0.3529  0.9616
O  0.3235  0.6471  0.0384
O  0.8192  0.6383  0.3498
O  0.1808  0.3617  0.6502

Total magnetic moment (μB per formula unit): 0.0
Volume (Å³ per atom): 14.08
SG: C2/m (12)
Formation energy without anion corrections (eV per atom): -0.655

(16)
Computed, not measured: a geometry-optimized TlIr3O9 structure at the PBE level of DFT.

a = 5.3231 Å, b = 7.3386 Å, c = 8.0787 Å
α = 90.00°, β = 93.46°, γ = 90.00°
Sites, in units of the cell vectors:
Tl  0.0359  0.2500  0.4428
Tl  0.9641  0.7500  0.5572
Ir  0.0000  0.0000  0.0000
Ir  0.0000  0.5000  0.0000
Ir  0.4712  0.4969  0.6955
Ir  0.4712  0.0031  0.6955
Ir  0.5288  0.9969  0.3045
Ir  0.5288  0.5031  0.3045
O  0.1219  0.2500  0.9810
O  0.1609  0.9303  0.7945
O  0.1609  0.5697  0.7945
O  0.2708  0.9577  0.4759
O  0.2708  0.5423  0.4759
O  0.3357  0.2500  0.6784
O  0.3165  0.9380  0.1123
O  0.3165  0.5620  0.1123
O  0.3982  0.2500  0.2971
O  0.6018  0.7500  0.7029
O  0.6835  0.0620  0.8877
O  0.6835  0.4380  0.8877
O  0.6643  0.7500  0.3216
O  0.7292  0.0423  0.5241
O  0.7292  0.4577  0.5241
O  0.8391  0.0697  0.2055
O  0.8391  0.4303  0.2055
O  0.8781  0.7500  0.0190

Total magnetic moment (μB per formula unit): 0.0
Volume (Å³ per atom): 12.12
SG: P2_1/m (11)
Formation energy without anion corrections (eV per atom): -0.629

(17)
Computed, not measured: a geometry-optimized TlIrO structure at the PBE level of DFT.

a = 2.9930 Å, b = 5.4609 Å, c = 3.6947 Å
α = 90.00°, β = 90.00°, γ = 90.00°
Sites, in units of the cell vectors:
Tl  0.0000  0.0000  0.4842
Ir  0.5000  0.5000  0.6401
O  0.5000  0.5000  0.1383

Energy relative to the lowest polymorph listed for this composition (meV per atom): 62
Total magnetic moment (μB per formula unit): 0.0
Volume (Å³ per atom): 20.13
SG: Pmm2 (25)
Formation energy without anion corrections (eV per atom): -0.131

(18)
Computed, not measured: a geometry-optimized TlIrO structure at the PBE level of DFT.

a = 3.7159 Å, b = 13.3980 Å, c = 4.8295 Å
α = 90.00°, β = 90.00°, γ = 90.00°
Sites, in units of the cell vectors:
Tl  0.0000  0.3170  0.2500
Tl  0.0000  0.6830  0.7500
Tl  0.5000  0.8170  0.2500
Tl  0.5000  0.1830  0.7500
Ir  0.0000  0.5511  0.2500
Ir  0.0000  0.4489  0.7500
Ir  0.5000  0.0511  0.2500
Ir  0.5000  0.9489  0.7500
O  0.0000  0.0565  0.2500
O  0.0000  0.9435  0.7500
O  0.5000  0.5565  0.2500
O  0.5000  0.4435  0.7500

Energy relative to the lowest polymorph listed for this composition (meV per atom): 8
Total magnetic moment (μB per formula unit): 0.0
Volume (Å³ per atom): 20.04
SG: Cmcm (63)
Formation energy without anion corrections (eV per atom): -0.184

(19)
Computed, not measured: a geometry-optimized TlIr2O8 structure at the PBE level of DFT.

a = 3.7359 Å, b = 7.3461 Å, c = 7.3462 Å
α = 129.74°, β = 90.07°, γ = 90.07°
Sites, in units of the cell vectors:
Tl  0.9997  0.9972  0.9972
Ir  0.5000  0.7429  0.2507
Ir  0.5000  0.2507  0.7429
O  0.4959  0.9137  0.6019
O  0.4959  0.6019  0.9137
O  0.8560  0.5455  0.5455
O  0.0000  0.2532  0.7405
O  0.0000  0.7405  0.2532
O  0.1440  0.4486  0.4486
O  0.5042  0.3918  0.0800
O  0.5042  0.0800  0.3918

Total magnetic moment (μB per formula unit): 1.8
Volume (Å³ per atom): 14.09
SG: C2/m (12)
Formation energy without anion corrections (eV per atom): -0.459

(20)
Computed, not measured: a geometry-optimized TlIrO structure at the PBE level of DFT.

a = 5.4794 Å, b = 5.6753 Å, c = 3.7129 Å
α = 90.00°, β = 90.00°, γ = 90.00°
Sites, in units of the cell vectors:
Tl  0.5000  0.0000  0.9545
Tl  0.5000  0.5000  0.4670
Ir  0.0000  0.7481  0.7373
Ir  0.0000  0.2519  0.7373
O  0.0000  0.2506  0.2373
O  0.0000  0.7494  0.2373

Energy relative to the lowest polymorph listed for this composition (meV per atom): 4
Total magnetic moment (μB per formula unit): 0.0
Volume (Å³ per atom): 19.24
SG: Pmm2 (25)
Formation energy without anion corrections (eV per atom): -0.188